1.
Li3Sm3InS8 | PBE | optimized geometry

Cell: 7.9826 7.9818 7.6163 Å, 121.64 90.00 120.00°
Closest atoms and distances in Å follow each position.
Sites, in units of the cell vectors:
Li (0.0000, 0.0000, 0.0000)  6 S 2.70-2.74
Li (0.0000, 0.5000, 0.0000)  6 S 2.70-2.74
Li (0.5000, 0.5000, 0.0000)  6 S 2.70-2.74
Sm (0.5000, 0.0000, 0.5000)  6 S 2.78-2.82
Sm (0.5000, 0.5000, 0.5000)  6 S 2.78-2.82
Sm (0.0000, 0.5000, 0.5000)  6 S 2.78-2.82
In (0.0000, 0.0000, 0.5000)  6 S 2.67
S (0.2480, 0.4960, 0.2443)  3 Li 2.74, 3 Sm 2.78
S (0.7520, 0.5040, 0.7557)  3 Li 2.74, 3 Sm 2.78
S (0.7578, 0.5156, 0.2480)  1 In 2.67, 2 Li 2.70, 2 Sm 2.82
S (0.2422, 0.4844, 0.7520)  1 In 2.67, 2 Li 2.70, 2 Sm 2.82
S (0.7579, 0.9900, 0.2481)  1 In 2.67, 2 Li 2.70, 2 Sm 2.82
S (0.2421, 0.0100, 0.7519)  1 In 2.67, 2 Li 2.70, 2 Sm 2.82
S (0.2321, 0.9900, 0.2481)  1 In 2.67, 2 Li 2.70, 2 Sm 2.82
S (0.7679, 0.0100, 0.7519)  1 In 2.67, 2 Li 2.70, 2 Sm 2.82

## Properties
space-group type: R-3m
calculated volume: 334.4 Å³ per cell
VASP energy: -77.4 eV/cell
Fermi-level density of states: 9.73 states/eV per cell

=====

2.
Ca2La2Pt2Rh | PBE | optimized geometry

Cell: 3.8916 7.5492 7.7185 Å, 64.84 89.96 75.01°
Closest atoms and distances in Å follow each position.
Sites, in units of the cell vectors:
Ca (0.7836, 0.4343, 0.7202)  1 Rh 2.95, 3 Pt 2.98-3.05
Ca (0.2164, 0.5657, 0.2798)  1 Rh 2.95, 3 Pt 2.98-3.05
La (0.5315, 0.9378, 0.7624)  2 Rh 2.84, 4 Pt 3.06-3.13
La (0.4685, 0.0622, 0.2376)  2 Rh 2.84, 4 Pt 3.06-3.13
Pt (0.8884, 0.2227, 0.4567)  3 Ca 2.98-3.05, 1 Pt 3.01, 4 La 3.06-3.13
Pt (0.1116, 0.7773, 0.5433)  3 Ca 2.98-3.05, 1 Pt 3.01, 4 La 3.06-3.13
Rh (0.0000, 0.0000, 0.0000)  4 La 2.84, 2 Ca 2.95

## Properties
space-group type: P-1
calculated volume: 196.7 Å³ per cell
energy of formation from the pure elements: -5.72 eV per formula unit
VASP energy: -39.0 eV/cell
Fermi-level density of states: 4.76 states/eV per cell

=====

3.
V5FeCo2Pt2 | PBE | optimized geometry

Cell: 2.8055 9.7256 9.7256 Å, 90.00 90.00 90.00°
Closest atoms and distances in Å follow each position.
Sites, in units of the cell vectors:
V (0.5000, 0.1869, 0.0713)  2 Co 2.34, 2 Fe 2.40
V (0.5000, 0.8131, 0.9287)  2 Co 2.34, 2 Fe 2.40
V (0.5000, 0.0713, 0.8131)  2 Co 2.34, 2 Fe 2.40
V (0.5000, 0.6869, 0.4287)  2 Co 2.34, 2 Fe 2.40
V (0.5000, 0.9287, 0.1869)  2 Co 2.34, 2 Fe 2.40
V (0.5000, 0.3131, 0.5713)  2 Co 2.34, 2 Fe 2.40
V (0.5000, 0.5713, 0.6869)  2 Co 2.34, 2 Fe 2.40
V (0.5000, 0.4287, 0.3131)  2 Co 2.34, 2 Fe 2.40
V (0.5000, 0.5000, 0.0000)  4 Co 2.28
V (0.5000, 0.0000, 0.5000)  4 Co 2.28
Fe (0.0000, 0.0000, 0.0000)  8 V 2.40
Fe (0.0000, 0.5000, 0.5000)  8 V 2.40
Co (0.0000, 0.1302, 0.6302)  6 V 2.28-2.34
Co (0.0000, 0.8698, 0.3698)  6 V 2.28-2.34
Co (0.0000, 0.6302, 0.8698)  6 V 2.28-2.34
Co (0.0000, 0.3698, 0.1302)  6 V 2.28-2.34
Pt (0.0000, 0.6726, 0.1726)  3 Co 2.71-2.97, 6 V 2.76-2.86, 2 Pt 2.81
Pt (0.0000, 0.3274, 0.8274)  3 Co 2.71-2.97, 6 V 2.76-2.86, 2 Pt 2.81
Pt (0.0000, 0.1726, 0.3274)  3 Co 2.71-2.97, 6 V 2.76-2.86, 2 Pt 2.81
Pt (0.0000, 0.8274, 0.6726)  3 Co 2.71-2.97, 6 V 2.76-2.86, 2 Pt 2.81

## Properties
space-group type: P4/mbm
calculated volume: 265.4 Å³ per cell
energy of formation from the pure elements: -0.82 eV per formula unit
VASP energy: -162.3 eV/cell
Fermi-level density of states: 21.20 states/eV per cell

=====

Which formula does entry 1 have? Li3Sm3InS8